1.
The following is a DFT calculation (PBE-GGA) of crystalline Pr3Ge2SbPt9 at its relaxed geometry.

- Fermi-level density of states (states/eV/f.u.) = 4.35
- final energy (eV for the cell shown) = -90.8
- formation energy from raw total energies (eV/atom) = -0.58
- calculated density (g/cm3) = 11.65
- symmetry = P-3m1 (164)

Cell and atoms, written as POSCAR:
```
Pr3Ge2SbPt9
1.0
6.590 0.000 0.000
-3.295 5.707 0.000
0.000 0.000 9.266
Pr Ge Sb Pt
3 2 1 9
direct
0.000 0.000 0.000
0.333 0.667 0.735
0.667 0.333 0.265
0.333 0.667 0.181
0.667 0.333 0.819
0.000 0.000 0.500
0.000 0.500 0.000
0.141 0.282 0.274
0.141 0.859 0.274
0.282 0.141 0.726
0.500 0.000 0.000
0.500 0.500 0.000
0.718 0.859 0.274
0.859 0.141 0.726
0.859 0.718 0.726
```

---

2.
The following is a DFT calculation (PBE-GGA) of crystalline Pr2Ge3SbPt4 at its relaxed geometry.

- Fermi-level density of states (states/eV/f.u.) = 5.89
- final energy (eV for the cell shown) = -60.5
- formation energy from raw total energies (eV/atom) = -0.88
- calculated density (g/cm3) = 11.34
- symmetry = P-4m2 (115)

Cell and atoms, written as POSCAR:
```
Pr2Ge3SbPt4
1.0
4.465 0.000 0.000
0.000 4.465 0.000
0.000 0.000 10.294
Pr Ge Sb Pt
2 3 1 4
direct
0.000 0.500 0.237
0.500 0.000 0.763
0.000 0.500 0.876
0.500 0.000 0.124
0.500 0.500 0.500
0.000 0.000 0.500
0.000 0.000 0.000
0.000 0.500 0.637
0.500 0.000 0.363
0.500 0.500 0.000
```

---

3.
The following is a DFT calculation (PBE-GGA) of crystalline Pr2GeSb3Pt4 at its relaxed geometry.

- Fermi-level density of states (states/eV/f.u.) = 4.91
- final energy (eV for the cell shown) = -59.2
- formation energy from raw total energies (eV/atom) = -0.85
- calculated density (g/cm3) = 11.21
- symmetry = P-4m2 (115)

Cell and atoms, written as POSCAR:
```
Pr2GeSb3Pt4
1.0
4.585 0.000 0.000
0.000 4.585 0.000
0.000 0.000 10.574
Pr Ge Sb Pt
2 1 3 4
direct
0.000 0.500 0.246
0.500 0.000 0.754
0.000 0.000 0.500
0.000 0.500 0.867
0.500 0.000 0.133
0.500 0.500 0.500
0.000 0.000 0.000
0.000 0.500 0.620
0.500 0.000 0.380
0.500 0.500 0.000
```

---

Question: The lowest Fermi-level density of states belongs to which entry?
Answer: Pr3Ge2SbPt9